1.
The following is a GGA-PBEsol calculation of Tl2SbPd after structural relaxation, from Alexandria via LeMat-Bulk.

Values from the calculation:
E_form (uncorrected)	0.15	eV/atom

Cell: 7.174 7.174 7.174 Å, 90.00 90.00 90.00°
Space group Fm-3m (No. 225)
Asymmetric unit:
Tl (0.250, 0.250, 0.250)
Sb (0.000, 0.000, 0.000)
Pd (0.000, 0.000, 0.500)


2.
The following is a GGA-PBEsol calculation of Tl3BP after structural relaxation, from Alexandria via LeMat-Bulk.

Values from the calculation:
total DFT energy (no corrections)	-13.91	eV per formula unit

Cell: 5.297 5.297 5.297 Å, 90.00 90.00 90.00°
Space group Pm-3m (No. 221)
Asymmetric unit:
Tl (0.000, 0.000, 0.500)
B (0.500, 0.500, 0.500)
P (0.000, 0.000, 0.000)


3.
The following is a GGA-PBEsol calculation of DyInPt4 after structural relaxation, from Alexandria via LeMat-Bulk.

Values from the calculation:
total DFT energy (no corrections)	-40.65	eV per formula unit

Cell: 7.525 7.525 7.525 Å, 90.00 90.00 90.00°
Space group F-43m (No. 216)
Asymmetric unit:
Dy (0.000, 0.000, 0.000)
In (0.250, 0.250, 0.250)
Pt (0.125, 0.125, 0.625)


4.
The following is a GGA-PBEsol calculation of Li6CuB4O10 after structural relaxation, from Alexandria via LeMat-Bulk.

Values from the calculation:
E_form (uncorrected)	-2.17	eV/atom

Cell: 4.816 9.196 13.863 Å, 103.88 96.10 94.79°
Space group P-1 (No. 2)
Asymmetric unit:
Li (0.006, 0.096, 0.303)
Li (0.061, 0.931, 0.897)
Li (0.116, 0.327, 0.188)
Li (0.131, 0.069, 0.586)
Li (0.169, 0.358, 0.011)
Li (0.289, 0.559, 0.868)
Li (0.408, 0.417, 0.687)
Li (0.435, 0.121, 0.467)
Li (0.455, 0.695, 0.685)
Cu (0.200, 0.183, 0.830)
Cu (0.500, 0.500, 0.500)
B (0.040, 0.501, 0.352)
B (0.087, 0.726, 0.505)
B (0.224, 0.606, 0.169)
B (0.298, 0.841, 0.317)
B (0.326, 0.815, 0.020)
B (0.418, 0.048, 0.168)
O (0.028, 0.146, 0.457)
O (0.033, 0.371, 0.874)
O (0.040, 0.886, 0.294)
O (0.060, 0.375, 0.583)
O (0.141, 0.749, 0.937)
O (0.149, 0.574, 0.728)
O (0.261, 0.956, 0.078)
O (0.278, 0.159, 0.219)
O (0.310, 0.467, 0.367)
O (0.314, 0.975, 0.802)
O (0.336, 0.475, 0.141)
O (0.338, 0.693, 0.547)
O (0.384, 0.714, 0.252)
O (0.443, 0.246, 0.953)
O (0.471, 0.911, 0.401)


no.,calculated density (Mg/m³)
1,11.46
2,7.32
3,16.49
4,2.61